Record 1
! TaAlAg2, optimized geometry, DFT PBE; values from VASP
! Symmetry = Fm-3m, No. 225
! Energy = -4.965 eV/atom
! V = 17.27 Å³/atom
&SYSTEM
  ibrav = 0, nat = 4, ntyp = 3
/
ATOMIC_SPECIES
Ta 180.95 Ta.upf
Al 26.98 Al.upf
Ag 107.87 Ag.upf
CELL_PARAMETERS angstrom
0.0000 3.2566 3.2566
3.2566 0.0000 3.2566
3.2566 3.2566 0.0000
ATOMIC_POSITIONS crystal
Ta 0.5000 0.5000 0.5000
Al 0.0000 0.0000 0.0000
Ag 0.2500 0.2500 0.2500
Ag 0.7500 0.7500 0.7500

Record 2
! TaAlAg2, optimized geometry, DFT PBE; values from VASP
! Symmetry = Cmmm, No. 65
! Energy = -5.146 eV/atom
! V = 17.39 Å³/atom
&SYSTEM
  ibrav = 0, nat = 4, ntyp = 3
/
ATOMIC_SPECIES
Ag 107.87 Ag.upf
Ta 180.95 Ta.upf
Al 26.98 Al.upf
CELL_PARAMETERS angstrom
2.8046 -0.0568 0.0000
-0.9961 2.6224 0.0000
0.0000 0.0000 9.5327
ATOMIC_POSITIONS crystal
Ag 0.0000 0.0000 0.4888
Ag 0.0000 0.0000 0.0112
Ta 0.5000 0.5000 0.7500
Al 0.5000 0.5000 0.2500

Record 3
! TaAlAg, optimized geometry, DFT PBE; values from VASP
! Symmetry = P-6m2, No. 187
! Energy = -6.042 eV/atom
! V = 17.05 Å³/atom
&SYSTEM
  ibrav = 0, nat = 3, ntyp = 3
/
ATOMIC_SPECIES
Ta 180.95 Ta.upf
Ag 107.87 Ag.upf
Al 26.98 Al.upf
CELL_PARAMETERS angstrom
4.4610 0.0000 0.0000
-2.2305 3.8633 0.0000
0.0000 0.0000 2.9675
ATOMIC_POSITIONS crystal
Ta 0.3333 0.6667 0.6669
Ag 0.0000 0.0000 0.1658
Al 0.6667 0.3333 0.1673